[1]
# V2Ni2Ag (PBE, relaxed)
# Total DFT energy (no corrections) (eV/atom): -6.4155
# DOS at the Fermi energy (states/eV per cell): 9.34
# Crystal system: tetragonal
data_V2Ni2Ag
_chemical_formula_sum 'V4 Ni4 Ag2'
_cell_length_a 7.2523
_cell_length_b 7.2523
_cell_length_c 2.5797
_cell_angle_alpha 90.00
_cell_angle_beta 90.00
_cell_angle_gamma 90.00
_space_group_name_H-M_alt 'P 1'
_space_group_IT_number 1
_space_group_name_Hall 'P 1'
loop_
_atom_site_label
_atom_site_type_symbol
_atom_site_fract_x
_atom_site_fract_y
_atom_site_fract_z
_atom_site_occupancy
Ni1 Ni 0.1756 0.6756 0.5000 1
Ni2 Ni 0.6756 0.8244 0.5000 1
Ni3 Ni 0.8244 0.3244 0.5000 1
Ni4 Ni 0.3244 0.1756 0.5000 1
Ag1 Ag 0.0000 0.0000 0.0000 1
Ag2 Ag 0.5000 0.5000 0.0000 1
V1 V 0.3836 0.8836 0.0000 1
V2 V 0.8836 0.6164 0.0000 1
V3 V 0.6164 0.1164 0.0000 1
V4 V 0.1164 0.3836 0.0000 1

=====

[2]
# VNi2Ag (PBE, relaxed)
# Total DFT energy (no corrections) (eV/atom): -5.7220
# DOS at the Fermi energy (states/eV per cell): 4.93
# Crystal system: cubic
data_VNi2Ag
_chemical_formula_sum 'V1 Ni2 Ag1'
_cell_length_a 4.2034
_cell_length_b 4.2034
_cell_length_c 4.2034
_cell_angle_alpha 60.00
_cell_angle_beta 60.00
_cell_angle_gamma 60.00
_space_group_name_H-M_alt 'P 1'
_space_group_IT_number 1
_space_group_name_Hall 'P 1'
loop_
_atom_site_label
_atom_site_type_symbol
_atom_site_fract_x
_atom_site_fract_y
_atom_site_fract_z
_atom_site_occupancy
Ni1 Ni 0.2500 0.2500 0.2500 1
Ni2 Ni 0.7500 0.7500 0.7500 1
Ag1 Ag 0.5000 0.5000 0.5000 1
V1 V 0.0000 0.0000 0.0000 1

=====

[3]
# VNiAg3 (PBE, relaxed)
# Total DFT energy (no corrections) (eV/atom): -3.1168
# DOS at the Fermi energy (states/eV per cell): 9.48
# Crystal system: cubic
data_VNiAg3
_chemical_formula_sum 'V1 Ni1 Ag3'
_cell_length_a 4.9027
_cell_length_b 4.9027
_cell_length_c 4.9027
_cell_angle_alpha 90.00
_cell_angle_beta 90.00
_cell_angle_gamma 90.00
_space_group_name_H-M_alt 'P 1'
_space_group_IT_number 1
_space_group_name_Hall 'P 1'
loop_
_atom_site_label
_atom_site_type_symbol
_atom_site_fract_x
_atom_site_fract_y
_atom_site_fract_z
_atom_site_occupancy
Ni1 Ni 0.5000 0.5000 0.5000 1
Ag1 Ag 0.0000 0.5000 0.0000 1
Ag2 Ag 0.0000 0.0000 0.5000 1
Ag3 Ag 0.5000 0.0000 0.0000 1
V1 V 0.0000 0.0000 0.0000 1

=====

[4]
# VNiAg2 (PBE, relaxed)
# Total DFT energy (no corrections) (eV/atom): -4.6991
# DOS at the Fermi energy (states/eV per cell): 5.95
# Crystal system: cubic
data_VNiAg2
_chemical_formula_sum 'V1 Ni1 Ag2'
_cell_length_a 4.4454
_cell_length_b 4.4454
_cell_length_c 4.4454
_cell_angle_alpha 60.00
_cell_angle_beta 60.00
_cell_angle_gamma 60.00
_space_group_name_H-M_alt 'P 1'
_space_group_IT_number 1
_space_group_name_Hall 'P 1'
loop_
_atom_site_label
_atom_site_type_symbol
_atom_site_fract_x
_atom_site_fract_y
_atom_site_fract_z
_atom_site_occupancy
Ni1 Ni 0.5000 0.5000 0.5000 1
Ag1 Ag 0.2500 0.2500 0.2500 1
Ag2 Ag 0.7500 0.7500 0.7500 1
V1 V 0.0000 0.0000 0.0000 1

=====

[5]
# V2Ni2Ag (PBE, relaxed)
# Total DFT energy (no corrections) (eV/atom): -6.5077
# DOS at the Fermi energy (states/eV per cell): 7.35
# Crystal system: tetragonal
data_V2Ni2Ag
_chemical_formula_sum 'V4 Ni4 Ag2'
_cell_length_a 7.1197
_cell_length_b 7.1197
_cell_length_c 2.6253
_cell_angle_alpha 90.00
_cell_angle_beta 90.00
_cell_angle_gamma 90.00
_space_group_name_H-M_alt 'P 1'
_space_group_IT_number 1
_space_group_name_Hall 'P 1'
loop_
_atom_site_label
_atom_site_type_symbol
_atom_site_fract_x
_atom_site_fract_y
_atom_site_fract_z
_atom_site_occupancy
Ni1 Ni 0.3741 0.8741 0.0000 1
Ni2 Ni 0.8741 0.6259 0.0000 1
Ni3 Ni 0.6259 0.1259 0.0000 1
Ni4 Ni 0.1259 0.3741 0.0000 1
Ag1 Ag 0.0000 0.0000 0.0000 1
Ag2 Ag 0.5000 0.5000 0.0000 1
V1 V 0.1673 0.6673 0.5000 1
V2 V 0.6673 0.8327 0.5000 1
V3 V 0.8327 0.3327 0.5000 1
V4 V 0.3327 0.1673 0.5000 1

=====

[6]
# V3NiAg (PBE, relaxed)
# Total DFT energy (no corrections) (eV/atom): -5.2375
# DOS at the Fermi energy (states/eV per cell): 9.28
# Crystal system: cubic
data_V3NiAg
_chemical_formula_sum 'V3 Ni1 Ag1'
_cell_length_a 4.8004
_cell_length_b 4.8004
_cell_length_c 4.8004
_cell_angle_alpha 90.00
_cell_angle_beta 90.00
_cell_angle_gamma 90.00
_space_group_name_H-M_alt 'P 1'
_space_group_IT_number 1
_space_group_name_Hall 'P 1'
loop_
_atom_site_label
_atom_site_type_symbol
_atom_site_fract_x
_atom_site_fract_y
_atom_site_fract_z
_atom_site_occupancy
Ni1 Ni 0.5000 0.5000 0.5000 1
Ag1 Ag 0.0000 0.0000 0.0000 1
V1 V 0.0000 0.5000 0.0000 1
V2 V 0.0000 0.0000 0.5000 1
V3 V 0.5000 0.0000 0.0000 1

=====

[7]
# VNiAg2 (PBE, relaxed)
# Total DFT energy (no corrections) (eV/atom): -4.4393
# DOS at the Fermi energy (states/eV per cell): 9.36
# Crystal system: tetragonal
data_VNiAg2
_chemical_formula_sum 'V2 Ni2 Ag4'
_cell_length_a 7.2410
_cell_length_b 7.2410
_cell_length_c 5.7522
_cell_angle_alpha 50.99
_cell_angle_beta 50.99
_cell_angle_gamma 90.00
_space_group_name_H-M_alt 'P 1'
_space_group_IT_number 1
_space_group_name_Hall 'P 1'
loop_
_atom_site_label
_atom_site_type_symbol
_atom_site_fract_x
_atom_site_fract_y
_atom_site_fract_z
_atom_site_occupancy
Ni1 Ni 0.0000 0.0000 0.0000 1
Ni2 Ni 0.7500 0.2500 0.5000 1
Ag1 Ag 0.6506 0.1250 0.2500 1
Ag2 Ag 0.0994 0.6250 0.2500 1
Ag3 Ag 0.3750 0.3494 0.7500 1
Ag4 Ag 0.8750 0.9006 0.7500 1
V1 V 0.5000 0.5000 0.0000 1
V2 V 0.2500 0.7500 0.5000 1

=====

[8]
# VNiAg3 (PBE, relaxed)
# Total DFT energy (no corrections) (eV/atom): -3.6588
# DOS at the Fermi energy (states/eV per cell): 9.50
# Crystal system: cubic
data_VNiAg3
_chemical_formula_sum 'V1 Ni1 Ag3'
_cell_length_a 4.7280
_cell_length_b 4.7280
_cell_length_c 4.7280
_cell_angle_alpha 90.00
_cell_angle_beta 90.00
_cell_angle_gamma 90.00
_space_group_name_H-M_alt 'P 1'
_space_group_IT_number 1
_space_group_name_Hall 'P 1'
loop_
_atom_site_label
_atom_site_type_symbol
_atom_site_fract_x
_atom_site_fract_y
_atom_site_fract_z
_atom_site_occupancy
Ni1 Ni 0.0000 0.0000 0.0000 1
Ag1 Ag 0.0000 0.5000 0.0000 1
Ag2 Ag 0.0000 0.0000 0.5000 1
Ag3 Ag 0.5000 0.0000 0.0000 1
V1 V 0.5000 0.5000 0.5000 1

=====

[9]
# V2NiAg (PBE, relaxed)
# Total DFT energy (no corrections) (eV/atom): -6.1150
# DOS at the Fermi energy (states/eV per cell): 9.48
# Crystal system: tetragonal
data_V2NiAg
_chemical_formula_sum 'V4 Ni2 Ag2'
_cell_length_a 3.5670
_cell_length_b 3.5670
_cell_length_c 9.5800
_cell_angle_alpha 79.27
_cell_angle_beta 79.27
_cell_angle_gamma 90.00
_space_group_name_H-M_alt 'P 1'
_space_group_IT_number 1
_space_group_name_Hall 'P 1'
loop_
_atom_site_label
_atom_site_type_symbol
_atom_site_fract_x
_atom_site_fract_y
_atom_site_fract_z
_atom_site_occupancy
Ni1 Ni 0.5000 0.5000 0.0000 1
Ni2 Ni 0.2500 0.7500 0.5000 1
Ag1 Ag 0.0000 0.0000 0.0000 1
Ag2 Ag 0.7500 0.2500 0.5000 1
V1 V 0.6089 0.1250 0.2500 1
V2 V 0.1411 0.6250 0.2500 1
V3 V 0.3750 0.3911 0.7500 1
V4 V 0.8750 0.8589 0.7500 1

=====

[10]
# VNiAg (PBE, relaxed)
# Total DFT energy (no corrections) (eV/atom): -5.4357
# DOS at the Fermi energy (states/eV per cell): 6.06
# Crystal system: orthorhombic
data_VNiAg
_chemical_formula_sum 'V2 Ni2 Ag2'
_cell_length_a 2.6013
_cell_length_b 2.6008
_cell_length_c 13.4854
_cell_angle_alpha 84.47
_cell_angle_beta 90.00
_cell_angle_gamma 90.00
_space_group_name_H-M_alt 'P 1'
_space_group_IT_number 1
_space_group_name_Hall 'P 1'
loop_
_atom_site_label
_atom_site_type_symbol
_atom_site_fract_x
_atom_site_fract_y
_atom_site_fract_z
_atom_site_occupancy
Ag1 Ag 0.7500 0.7044 0.5911 1
Ag2 Ag 0.2500 0.2956 0.4089 1
Ni1 Ni 0.2500 0.0378 0.9244 1
Ni2 Ni 0.7500 0.9622 0.0756 1
V1 V 0.2500 0.6111 0.7778 1
V2 V 0.7500 0.3889 0.2222 1

=====

[11]
# VNi2Ag2 (PBE, relaxed)
# Total DFT energy (no corrections) (eV/atom): -4.9651
# DOS at the Fermi energy (states/eV per cell): 7.92
# Crystal system: tetragonal
data_VNi2Ag2
_chemical_formula_sum 'V2 Ni4 Ag4'
_cell_length_a 6.0386
_cell_length_b 6.0386
_cell_length_c 4.0647
_cell_angle_alpha 90.00
_cell_angle_beta 90.00
_cell_angle_gamma 90.00
_space_group_name_H-M_alt 'P 1'
_space_group_IT_number 1
_space_group_name_Hall 'P 1'
loop_
_atom_site_label
_atom_site_type_symbol
_atom_site_fract_x
_atom_site_fract_y
_atom_site_fract_z
_atom_site_occupancy
Ni1 Ni 0.3651 0.8651 0.0000 1
Ni2 Ni 0.8651 0.6349 0.0000 1
Ni3 Ni 0.6349 0.1349 0.0000 1
Ni4 Ni 0.1349 0.3651 0.0000 1
Ag1 Ag 0.1704 0.6704 0.5000 1
Ag2 Ag 0.6704 0.8296 0.5000 1
Ag3 Ag 0.8296 0.3296 0.5000 1
Ag4 Ag 0.3296 0.1704 0.5000 1
V1 V 0.0000 0.0000 0.0000 1
V2 V 0.5000 0.5000 0.0000 1

=====

[12]
# VNi2Ag (PBE, relaxed)
# Total DFT energy (no corrections) (eV/atom): -5.8651
# DOS at the Fermi energy (states/eV per cell): 3.93
# Crystal system: tetragonal
data_VNi2Ag
_chemical_formula_sum 'V1 Ni2 Ag1'
_cell_length_a 2.6907
_cell_length_b 2.6907
_cell_length_c 7.2991
_cell_angle_alpha 90.00
_cell_angle_beta 90.00
_cell_angle_gamma 90.00
_space_group_name_H-M_alt 'P 1'
_space_group_IT_number 1
_space_group_name_Hall 'P 1'
loop_
_atom_site_label
_atom_site_type_symbol
_atom_site_fract_x
_atom_site_fract_y
_atom_site_fract_z
_atom_site_occupancy
Ni1 Ni 0.0000 0.0000 0.7750 1
Ni2 Ni 0.0000 0.0000 0.2250 1
Ag1 Ag 0.5000 0.5000 0.5000 1
V1 V 0.5000 0.5000 0.0000 1

=====

ΔE_f for every record listed, in sequence, given in eV/atom: 0.115 0.161 1.574 0.452 0.023 1.960 0.711 1.032 0.602 0.481 0.312 0.018.